Entry 1:
PBE HIrI3, relaxed; density of states at the Fermi level = 1.21 states/eV per atom; V = 110.7 Å³/f.u.; space group = Pm-3m; E = -9.40 eV per cell
1.0
4.801 0.000 0.000
0.000 4.801 0.000
0.000 0.000 4.801
H Ir I
1 1 3
direct
0.000 0.000 0.000
0.500 0.500 0.500
0.000 0.000 0.500
0.000 0.500 0.000
0.500 0.000 0.000

=====

Entry 2:
PBE Ta3TiNb, relaxed; density of states at the Fermi level = 1.15 states/eV per atom; polymorph energy (0 for the lowest one) = 1.360 eV per atom; V = 101.4 Å³/f.u.; space group = Pm-3m; E_form = 1.38 eV per atom
1.0
4.664 0.000 0.000
0.000 4.664 0.000
0.000 0.000 4.664
Ta Ti Nb
3 1 1
direct
0.000 0.000 0.500
0.000 0.500 0.000
0.500 0.000 0.000
0.000 0.000 0.000
0.500 0.500 0.500

=====

Entry 3:
PBE BaSi4Ru4, relaxed; density of states at the Fermi level = 0.51 states/eV per atom; V = 156.7 Å³/f.u.; space group = P4_2/n; formation energy without anion corrections = -0.557 eV/atom
1.0
8.240 0.000 0.000
0.000 8.240 0.000
0.000 0.000 4.617
Ba Si Ru
2 8 8
direct
0.250 0.250 0.250
0.750 0.750 0.750
0.054 0.901 0.169
0.099 0.554 0.669
0.401 0.946 0.669
0.446 0.599 0.169
0.554 0.401 0.831
0.599 0.054 0.331
0.901 0.446 0.331
0.946 0.099 0.831
0.118 0.625 0.164
0.125 0.882 0.664
0.375 0.618 0.664
0.382 0.875 0.164
0.618 0.125 0.836
0.625 0.382 0.336
0.875 0.118 0.336
0.882 0.375 0.836